[1]
This record from Alexandria via LeMat-Bulk describes crystalline CaPr2Pd at its relaxed geometry. The functional is PBE.

Geometry as POSCAR:
```
CaPr2Pd
1.0
-3.506 2.422 -4.978
-6.030 0.348 4.415
2.592 9.489 2.791
Pd Ca Pr
4 4 8
Direct
0.081 0.386 0.250
0.581 0.114 0.750
0.919 0.614 0.750
0.419 0.886 0.250
0.141 0.967 0.750
0.859 0.033 0.250
0.641 0.533 0.250
0.359 0.467 0.750
0.831 0.325 0.939
0.169 0.675 0.061
0.669 0.825 0.561
0.669 0.825 0.939
0.169 0.675 0.439
0.831 0.325 0.561
0.331 0.175 0.061
0.331 0.175 0.439
```

Summary:
crystal system = orthorhombic
size of the total moment = 0.0000 μB per atom
E_form = -386 meV/atom
energy relative to the lowest polymorph listed for this composition = 0.000 eV per atom
VASP energy = -73.19 eV per cell

=====

[2]
This record from Alexandria via LeMat-Bulk describes crystalline CaPr2Pd at its relaxed geometry. The functional is PBE.

Geometry as POSCAR:
```
CaPr2Pd
1.0
4.006 0.000 0.000
2.003 3.470 0.000
2.003 1.157 10.034
Ca Pr Pd
1 2 1
Direct
0.500 0.500 0.500
0.726 0.726 0.821
0.274 0.274 0.179
0.000 0.000 0.000
```

Summary:
crystal system = trigonal
size of the total moment = 0.0000 μB per atom
E_form = -257 meV/atom
energy relative to the lowest polymorph listed for this composition = 0.130 eV per atom
VASP energy = -17.78 eV per cell

=====

[3]
This record from Alexandria via LeMat-Bulk describes crystalline CaPrPd at its relaxed geometry. The functional is PBE.

Geometry as POSCAR:
```
CaPrPd
1.0
-0.785 -4.725 -1.713
-1.253 -3.728 3.216
-8.609 -1.046 -0.621
Pd Pr Ca
2 2 2
Direct
0.245 0.245 0.264
0.755 0.755 0.736
0.123 0.123 0.630
0.877 0.877 0.370
0.373 0.373 0.882
0.627 0.627 0.118
```

Summary:
crystal system = triclinic
size of the total moment = 0.0000 μB per atom
E_form = -434 meV/atom
energy relative to the lowest polymorph listed for this composition = 0.075 eV per atom
VASP energy = -26.55 eV per cell

=====

[4]
This record from Alexandria via LeMat-Bulk describes crystalline Ca4PrPd2 at its relaxed geometry. The functional is PBE.

Geometry as POSCAR:
```
Ca4PrPd2
1.0
-0.783 -3.501 -5.543
4.573 -6.094 3.203
-8.005 -1.075 1.810
Ca Pr Pd
8 2 4
Direct
0.500 0.304 0.804
0.500 0.696 0.196
0.000 0.696 0.196
0.750 0.060 0.082
0.750 0.419 0.442
0.000 0.304 0.804
0.250 0.940 0.918
0.250 0.581 0.558
0.250 0.132 0.368
0.750 0.868 0.632
0.250 0.927 0.574
0.250 0.349 0.150
0.750 0.073 0.426
0.750 0.651 0.850
```

Summary:
crystal system = monoclinic
size of the total moment = 0.0000 μB per atom
E_form = -304 meV/atom
VASP energy = -50.60 eV per cell

=====

[5]
This record from Alexandria via LeMat-Bulk describes crystalline Ca2Pr3Pd2 at its relaxed geometry. The functional is PBE.

Geometry as POSCAR:
```
Ca2Pr3Pd2
1.0
-3.482 -1.924 -0.419
0.596 -5.940 3.230
-3.736 0.866 7.970
Pd Pr Ca
2 3 2
Direct
0.167 0.905 0.761
0.833 0.095 0.239
0.381 0.798 0.440
0.619 0.202 0.560
0.500 0.000 0.000
0.834 0.522 0.810
0.166 0.478 0.190
```

Summary:
crystal system = monoclinic
size of the total moment = 0.0000 μB per atom
E_form = -443 meV/atom
VASP energy = -31.83 eV per cell

=====

[6]
This record from Alexandria via LeMat-Bulk describes crystalline CaPr2Pd at its relaxed geometry. The functional is PBE.

Geometry as POSCAR:
```
CaPr2Pd
1.0
4.061 0.000 0.000
2.030 3.517 0.000
2.030 1.172 9.895
Pr Ca Pd
2 1 1
Direct
0.274 0.274 0.177
0.059 0.059 0.824
0.501 0.501 0.497
0.666 0.666 0.001
```

Summary:
crystal system = trigonal
size of the total moment = 0.0002 μB per atom
E_form = -251 meV/atom
energy relative to the lowest polymorph listed for this composition = 0.135 eV per atom
VASP energy = -17.76 eV per cell

=====

[7]
This record from Alexandria via LeMat-Bulk describes crystalline CaPr3Pd4 at its relaxed geometry. The functional is PBE.

Geometry as POSCAR:
```
CaPr3Pd4
1.0
-4.644 -3.057 -2.893
0.603 -2.168 5.849
-1.317 6.125 0.168
Pd Pr Ca
4 3 1
Direct
0.000 0.000 0.500
0.500 0.000 0.000
0.000 0.500 0.000
0.500 0.500 0.500
0.500 0.500 0.000
0.500 0.000 0.500
0.000 0.500 0.500
0.000 0.000 0.000
```

Summary:
crystal system = cubic
size of the total moment = 0.0000 μB per atom
E_form = -720 meV/atom
VASP energy = -42.87 eV per cell

=====

[8]
This record from Alexandria via LeMat-Bulk describes crystalline CaPrPd at its relaxed geometry. The functional is PBE.

Geometry as POSCAR:
```
CaPrPd
1.0
-0.988 -2.597 -2.929
6.911 -4.801 1.925
-8.160 -7.852 9.713
Pr Ca Pd
6 6 6
Direct
0.000 0.810 0.042
0.000 0.146 0.250
0.000 0.854 0.750
0.000 0.190 0.542
0.000 0.810 0.458
0.000 0.190 0.958
0.500 0.437 0.120
0.500 0.793 0.250
0.500 0.563 0.620
0.500 0.437 0.380
0.500 0.207 0.750
0.500 0.563 0.880
0.500 0.939 0.597
0.000 0.466 0.750
0.500 0.939 0.903
0.000 0.534 0.250
0.500 0.061 0.403
0.500 0.061 0.097
```

Summary:
crystal system = orthorhombic
size of the total moment = 0.0000 μB per atom
E_form = -509 meV/atom
energy relative to the lowest polymorph listed for this composition = 0.000 eV per atom
VASP energy = -81.01 eV per cell